{"formula": "Mg2ScOs", "functional": "PBE", "state": "relaxed", "magmom_total_mub_per_fu": 0.00, "de_polymorph_mev_per_atom": 334.0, "rho_g_cm3": 6.310, "space_group": "No. 166", "formation_energy_ev_per_fu": 1.0, "cell": [[10.131, 0.003, 0.002], [9.704, 2.911, 0.002], [9.704, 1.426, 2.538]], "species": ["Mg", "Mg", "Os", "Sc"], "frac_coords": [[0.010, 0.010, 0.010], [0.490, 0.490, 0.490], [0.750, 0.750, 0.750], [0.250, 0.250, 0.250]]}

---

{"formula": "MgSc2Os2", "functional": "PBE", "state": "relaxed", "magmom_total_mub_per_fu": 0.00, "rho_g_cm3": 8.928, "space_group": "No. 127", "formation_energy_ev_per_fu": -0.5, "cell": [[7.182, 0.000, 0.000], [0.000, 7.182, 0.000], [0.000, 0.000, 3.567]], "species": ["Sc", "Sc", "Sc", "Sc", "Mg", "Mg", "Os", "Os", "Os", "Os"], "frac_coords": [[0.160, 0.660, 0.500], [0.660, 0.840, 0.500], [0.840, 0.340, 0.500], [0.340, 0.160, 0.500], [0.000, 0.000, 0.000], [0.500, 0.500, 0.000], [0.362, 0.862, 0.000], [0.862, 0.638, 0.000], [0.638, 0.138, 0.000], [0.138, 0.362, 0.000]]}

---

Repeat the first record exactly.
{"formula": "Mg2ScOs", "functional": "PBE", "state": "relaxed", "magmom_total_mub_per_fu": 0.00, "de_polymorph_mev_per_atom": 334.0, "rho_g_cm3": 6.310, "space_group": "No. 166", "formation_energy_ev_per_fu": 1.0, "cell": [[10.131, 0.003, 0.002], [9.704, 2.911, 0.002], [9.704, 1.426, 2.538]], "species": ["Mg", "Mg", "Os", "Sc"], "frac_coords": [[0.010, 0.010, 0.010], [0.490, 0.490, 0.490], [0.750, 0.750, 0.750], [0.250, 0.250, 0.250]]}